This record from the Alexandria database describes a PBEsol-optimized structure of ScAuS2. The functional is meta-GGA SCAN.

Total energy, eV per cell: -324.57

Cell: 3.7327 3.7327 21.8139 Å, 90.00 90.00 120.00°
Space group R-3m (No. 166, hexagonal axes)
One atom of each set of equivalent atoms:
Sc  0.0000  0.0000  0.0000 [3 per cell]
Au  0.0000  0.0000  0.5000 [3 per cell]
S  0.0000  0.0000  0.3960 [6 per cell]

This record from the Alexandria database describes a PBEsol-optimized structure of Te2AuSeS. The functional is meta-GGA SCAN.

Total energy, eV per cell: -169.16

Cell: 5.3557 5.3557 4.8393 Å, 90.00 90.00 90.00°
Space group P4/mmm (No. 123)
One atom of each set of equivalent atoms:
Te  0.0000  0.5000  0.0000 [2 per cell]
Au  0.0000  0.0000  0.0000 [1 per cell]
Se  0.0000  0.0000  0.5000 [1 per cell]
S  0.5000  0.5000  0.5000 [1 per cell]

no.,ΔE_f (raw) (eV/atom)
1,-1.39
2,0.84